(1)
{
  "formula": "TbY3O6",
  "functional": "PBE",
  "state": "relaxed",
  "e_tot_ev_per_atom": -8.61,
  "m_tot_mub_per_cell": 0.0,
  "e_form_raw_ev_per_atom": -3.231,
  "sg": "Cmmm, No. 65",
  "cell": [[3.9275, -5.6453, 0.0000], [3.9275, 5.6453, 0.0000], [0.0000, 0.0000, 3.5533]],
  "species": ["Tb", "Y", "Y", "Y", "O", "O", "O", "O", "O", "O"],
  "fractional_positions": [[0.0000, 0.0000, 0.0000], [0.0000, 0.5000, 0.5000], [0.5000, 0.0000, 0.5000], [0.5000, 0.5000, 0.0000], [0.1367, 0.8633, 0.5000], [0.1703, 0.4258, 0.0000], [0.4258, 0.1703, 0.0000], [0.5742, 0.8297, 0.0000], [0.8297, 0.5742, 0.0000], [0.8633, 0.1367, 0.5000]]
}

(2)
{
  "formula": "Tb3ZnO6",
  "functional": "PBE",
  "state": "relaxed",
  "e_tot_ev_per_atom": -7.37,
  "m_tot_mub_per_cell": 2.0,
  "e_form_raw_ev_per_atom": -2.875,
  "sg": "Cmc2_1, No. 36",
  "cell": [[4.4991, -5.5892, 0.0000], [4.4991, 5.5892, 0.0000], [0.0000, 0.0000, 5.4906]],
  "species": ["Tb", "Tb", "Tb", "Tb", "Tb", "Tb", "Zn", "Zn", "O", "O", "O", "O", "O", "O", "O", "O", "O", "O", "O", "O"],
  "fractional_positions": [[0.1043, 0.8957, 0.5000], [0.1998, 0.4153, 0.5507], [0.4153, 0.1998, 0.0507], [0.5847, 0.8002, 0.5507], [0.8002, 0.5847, 0.0507], [0.8957, 0.1043, 0.0000], [0.3084, 0.6916, 0.0752], [0.6916, 0.3084, 0.5752], [0.0731, 0.6030, 0.2715], [0.1435, 0.1761, 0.2757], [0.1761, 0.1435, 0.7757], [0.2827, 0.7173, 0.7290], [0.3970, 0.9269, 0.2715], [0.4682, 0.5318, 0.2461], [0.5318, 0.4682, 0.7461], [0.6030, 0.0731, 0.7715], [0.7173, 0.2827, 0.2290], [0.8239, 0.8565, 0.2757], [0.8565, 0.8239, 0.7757], [0.9269, 0.3970, 0.7715]]
}

(3)
{
  "formula": "Tb2Zr2O7",
  "functional": "PBE",
  "state": "relaxed",
  "e_tot_ev_per_atom": -8.98,
  "m_tot_mub_per_cell": 0.0,
  "e_form_raw_ev_per_atom": -3.425,
  "sg": "Fd-3m, No. 227",
  "cell": [[0.0000, 5.3058, 5.3058], [5.3058, 0.0000, 5.3058], [5.3058, 5.3058, 0.0000]],
  "species": ["Tb", "Tb", "Tb", "Tb", "Zr", "Zr", "Zr", "Zr", "O", "O", "O", "O", "O", "O", "O", "O", "O", "O", "O", "O", "O", "O"],
  "fractional_positions": [[0.0000, 0.0000, 0.0000], [0.0000, 0.0000, 0.5000], [0.0000, 0.5000, 0.0000], [0.5000, 0.0000, 0.0000], [0.0000, 0.5000, 0.5000], [0.5000, 0.0000, 0.5000], [0.5000, 0.5000, 0.0000], [0.5000, 0.5000, 0.5000], [0.1250, 0.1250, 0.1250], [0.1595, 0.1595, 0.5905], [0.1595, 0.5905, 0.1595], [0.1595, 0.5905, 0.5905], [0.4095, 0.4095, 0.8405], [0.4095, 0.8405, 0.4095], [0.4095, 0.8405, 0.8405], [0.5905, 0.1595, 0.1595], [0.5905, 0.1595, 0.5905], [0.5905, 0.5905, 0.1595], [0.8405, 0.4095, 0.4095], [0.8405, 0.4095, 0.8405], [0.8405, 0.8405, 0.4095], [0.8750, 0.8750, 0.8750]]
}

(4)
{
  "formula": "Tb2Zr2O7",
  "functional": "PBE",
  "state": "relaxed",
  "e_tot_ev_per_atom": -8.93,
  "m_tot_mub_per_cell": 0.0,
  "e_form_raw_ev_per_atom": -3.377,
  "sg": "P4_12_12, No. 92",
  "cell": [[7.3458, 0.0000, 0.0000], [0.0000, 7.3458, 0.0000], [0.0000, 0.0000, 12.7009]],
  "species": ["Tb", "Tb", "Tb", "Tb", "Tb", "Tb", "Tb", "Tb", "Zr", "Zr", "Zr", "Zr", "Zr", "Zr", "Zr", "Zr", "O", "O", "O", "O", "O", "O", "O", "O", "O", "O", "O", "O", "O", "O", "O", "O", "O", "O", "O", "O", "O", "O", "O", "O", "O", "O", "O", "O"],
  "fractional_positions": [[0.1235, 0.3616, 0.3842], [0.1384, 0.6235, 0.6342], [0.3616, 0.1235, 0.6158], [0.3765, 0.8616, 0.8658], [0.6235, 0.1384, 0.3658], [0.6384, 0.8765, 0.1158], [0.8616, 0.3765, 0.1342], [0.8765, 0.6384, 0.8842], [0.1008, 0.8726, 0.0952], [0.1274, 0.8992, 0.4048], [0.3726, 0.3992, 0.8452], [0.3992, 0.3726, 0.1548], [0.6008, 0.6274, 0.6548], [0.6274, 0.6008, 0.3452], [0.8726, 0.1008, 0.9048], [0.8992, 0.1274, 0.5952], [0.0720, 0.9083, 0.9144], [0.0843, 0.3246, 0.5732], [0.0917, 0.9280, 0.5856], [0.1369, 0.3525, 0.2042], [0.1475, 0.6369, 0.4542], [0.1470, 0.8530, 0.2500], [0.1754, 0.5843, 0.8232], [0.3246, 0.0843, 0.4268], [0.3525, 0.1369, 0.7958], [0.3530, 0.3530, 0.0000], [0.3631, 0.8525, 0.0458], [0.4083, 0.4280, 0.6644], [0.4157, 0.8246, 0.6768], [0.4280, 0.4083, 0.3356], [0.5720, 0.5917, 0.8356], [0.5843, 0.1754, 0.1768], [0.5917, 0.5720, 0.1644], [0.6369, 0.1475, 0.5458], [0.6470, 0.6470, 0.5000], [0.6475, 0.8631, 0.2958], [0.6754, 0.9157, 0.9268], [0.8246, 0.4157, 0.3232], [0.8530, 0.1470, 0.7500], [0.8525, 0.3631, 0.9542], [0.8631, 0.6475, 0.7042], [0.9083, 0.0720, 0.0856], [0.9157, 0.6754, 0.0732], [0.9280, 0.0917, 0.4144]]
}

(5)
{
  "formula": "Tb2Zr2O7",
  "functional": "PBE",
  "state": "relaxed",
  "e_tot_ev_per_atom": -8.95,
  "m_tot_mub_per_cell": 0.0,
  "e_form_raw_ev_per_atom": -3.400,
  "sg": "P4_2/mmc, No. 131",
  "cell": [[7.4140, 0.0000, 0.0000], [0.0000, 7.4140, 0.0000], [0.0000, 0.0000, 5.4507]],
  "species": ["Tb", "Tb", "Tb", "Tb", "Zr", "Zr", "Zr", "Zr", "O", "O", "O", "O", "O", "O", "O", "O", "O", "O", "O", "O", "O", "O"],
  "fractional_positions": [[0.0000, 0.2501, 0.0000], [0.0000, 0.7499, 0.0000], [0.2501, 0.0000, 0.5000], [0.7499, 0.0000, 0.5000], [0.2227, 0.5000, 0.5000], [0.5000, 0.2227, 0.0000], [0.5000, 0.7773, 0.0000], [0.7773, 0.5000, 0.5000], [0.0000, 0.0000, 0.2500], [0.0000, 0.0000, 0.7500], [0.0000, 0.5000, 0.2669], [0.0000, 0.5000, 0.7331], [0.2875, 0.2875, 0.2500], [0.2875, 0.2875, 0.7500], [0.2875, 0.7125, 0.2500], [0.2875, 0.7125, 0.7500], [0.5000, 0.0000, 0.2331], [0.5000, 0.0000, 0.7669], [0.7125, 0.2875, 0.2500], [0.7125, 0.2875, 0.7500], [0.7125, 0.7125, 0.2500], [0.7125, 0.7125, 0.7500]]
}

(6)
{
  "formula": "Tb2Zr8O19",
  "functional": "PBE",
  "state": "relaxed",
  "e_tot_ev_per_atom": -9.22,
  "m_tot_mub_per_cell": 0.0,
  "e_form_raw_ev_per_atom": -3.298,
  "sg": "P-4m2, No. 115",
  "cell": [[3.6654, 0.0000, 0.0000], [0.0000, 3.6654, 0.0000], [0.0000, 0.0000, 26.3619]],
  "species": ["Tb", "Tb", "Zr", "Zr", "Zr", "Zr", "Zr", "Zr", "Zr", "Zr", "O", "O", "O", "O", "O", "O", "O", "O", "O", "O", "O", "O", "O", "O", "O", "O", "O", "O", "O"],
  "fractional_positions": [[0.0000, 0.5000, 0.0582], [0.5000, 0.0000, 0.9418], [0.0000, 0.5000, 0.2546], [0.0000, 0.5000, 0.4512], [0.0000, 0.5000, 0.6467], [0.0000, 0.5000, 0.8444], [0.5000, 0.0000, 0.1556], [0.5000, 0.0000, 0.3533], [0.5000, 0.0000, 0.5488], [0.5000, 0.0000, 0.7454], [0.0000, 0.0000, 0.0000], [0.0000, 0.0000, 0.1145], [0.0000, 0.0000, 0.2133], [0.0000, 0.0000, 0.3106], [0.0000, 0.0000, 0.4060], [0.0000, 0.0000, 0.5000], [0.0000, 0.0000, 0.5940], [0.0000, 0.0000, 0.6894], [0.0000, 0.0000, 0.7867], [0.0000, 0.0000, 0.8855], [0.5000, 0.5000, 0.0978], [0.5000, 0.5000, 0.1967], [0.5000, 0.5000, 0.2969], [0.5000, 0.5000, 0.3981], [0.5000, 0.5000, 0.5000], [0.5000, 0.5000, 0.6019], [0.5000, 0.5000, 0.7031], [0.5000, 0.5000, 0.8033], [0.5000, 0.5000, 0.9022]]
}